Entry 1:
The following is a PBE-GGA calculation of NpInAg2I6 after structural relaxation, from the Alexandria database.

a = 9.2281 Å, b = 9.2281 Å, c = 9.2281 Å
α = 51.56°, β = 51.56°, γ = 51.56°
With the nearest neighbours (Å) after each atom.
Fractional positions:
Np  0.0000  0.0000  0.0000  6 I 3.13
In  0.5000  0.5000  0.5000  6 I 3.48
Ag  0.2641  0.2641  0.2641  3 I 2.78
Ag  0.7359  0.7359  0.7359  3 I 2.78
I  0.0787  0.3897  0.7668  1 Ag 2.78
I  0.2332  0.9213  0.6103  1 Ag 2.78
I  0.3897  0.7668  0.0787  1 Ag 2.78
I  0.6103  0.2332  0.9213  1 Ag 2.78
I  0.7668  0.0787  0.3897  1 Ag 2.78
I  0.9213  0.6103  0.2332  1 Ag 2.78

Results
SG ... R-3 (148)
Raw formation energy ... -4.99 eV per formula unit

---

Entry 2:
The following is a PBE-GGA calculation of SmAlGaPd after structural relaxation, from the Alexandria database.

a = 5.7544 Å, b = 5.7544 Å, c = 5.7544 Å
α = 43.55°, β = 43.55°, γ = 43.55°
With the nearest neighbours (Å) after each atom.
Fractional positions:
Sm  0.0000  0.0000  0.0000  4 Ga 3.07-3.38, 4 Al 3.14-3.26
Al  0.7910  0.7910  0.7910  3 Pd 2.54
Ga  0.2165  0.2165  0.2165  3 Pd 2.60, 3 Al 2.85
Pd  0.4963  0.4963  0.4963  3 Al 2.54, 3 Ga 2.60

Results
Energy of formation from the pure elements ... -711 meV per atom
SG ... R3m (160)

---

Entry 3:
The following is a PBE-GGA calculation of K2Cu2F5 after structural relaxation, from the Alexandria database.

a = 4.0253 Å, b = 4.0253 Å, c = 8.3872 Å
α = 90.00°, β = 90.00°, γ = 90.00°
With the nearest neighbours (Å) after each atom.
Fractional positions:
K  0.0000  0.0000  0.0000  8 F 2.71
K  0.0000  0.0000  0.5000  12 F 2.85-3.11
Cu  0.5000  0.5000  0.2414  5 F 2.02-2.17
Cu  0.5000  0.5000  0.7586  5 F 2.02-2.17
F  0.0000  0.5000  0.2170  2 Cu 2.02
F  0.0000  0.5000  0.7830  2 Cu 2.02
F  0.5000  0.0000  0.2170  2 Cu 2.02
F  0.5000  0.0000  0.7830  2 Cu 2.02
F  0.5000  0.5000  0.5000  2 Cu 2.17

Results
SG ... P4/mmm (123)
Raw formation energy ... -18.15 eV per formula unit

---

Entry 4:
The following is a PBE-GGA calculation of CsCaAgSe2 after structural relaxation, from the Alexandria database.

a = 8.6956 Å, b = 8.6956 Å, c = 6.1303 Å
α = 90.00°, β = 90.00°, γ = 129.79°
With the nearest neighbours (Å) after each atom.
Fractional positions:
Cs  0.2500  0.7500  0.7800  4 Se 3.72-3.78, 2 Ag 4.16
Cs  0.7500  0.2500  0.2200  4 Se 3.72-3.78, 2 Ag 4.16
Ca  0.2500  0.2500  0.5000  4 Se 2.88
Ca  0.7500  0.7500  0.5000  4 Se 2.88
Ag  0.0000  0.0000  0.0000  2 Se 2.49
Ag  0.5000  0.5000  0.0000  2 Se 2.49
Se  0.1128  0.8872  0.2854  1 Ag 2.49
Se  0.3872  0.6128  0.2854  1 Ag 2.49
Se  0.6128  0.3872  0.7146  1 Ag 2.49
Se  0.8872  0.1128  0.7146  1 Ag 2.49

Results
SG ... Cmme (67)
Raw formation energy ... -5.78 eV per formula unit